Entry 1:
Here is a geometry-optimized Rb4ZrU3Se8 structure from Alexandria via LeMat-Bulk. Energies are from PBE.

Computed properties:
theoretical density: 6.060 Mg/m³
formation energy (no corrections): -1.234 eV per atom

a = 8.3324 Å, b = 8.3324 Å, c = 9.4259 Å
α = 116.23°, β = 116.23°, γ = 60.01°
Last column: nearest neighbours and their distance in Å.
Positions (direct):
Rb (0.0000, 0.0000, 0.0000)  6 Se 3.41-3.42
Rb (0.0000, 0.5000, 0.0000)  6 Se 3.41
Rb (0.5000, 0.0000, 0.0000)  6 Se 3.41
Rb (0.5000, 0.5000, 0.0000)  6 Se 3.49-3.50
Zr (0.0000, 0.0000, 0.5000)  6 Se 2.82
U (0.0000, 0.5000, 0.5000)  6 Se 2.91-2.92
U (0.5000, 0.0000, 0.5000)  6 Se 2.91-2.92
U (0.5000, 0.5000, 0.5000)  6 Se 2.91
Se (0.2269, 0.2269, 0.6966)  1 Zr 2.82, 2 U 2.92
Se (0.2275, 0.7433, 0.6966)  1 Zr 2.82, 2 U 2.91-2.92
Se (0.2567, 0.7725, 0.3034)  1 Zr 2.82, 2 U 2.91-2.92
Se (0.2658, 0.2658, 0.2982)  3 U 2.91
Se (0.7342, 0.7342, 0.7018)  3 U 2.91
Se (0.7433, 0.2275, 0.6966)  1 Zr 2.82, 2 U 2.91-2.92
Se (0.7725, 0.2567, 0.3034)  1 Zr 2.82, 2 U 2.91-2.92
Se (0.7731, 0.7731, 0.3034)  1 Zr 2.82, 2 U 2.92

***

Entry 2:
Here is a geometry-optimized Hf2H3Ir structure from Alexandria via LeMat-Bulk. Energies are from PBE.

Computed properties:
raw total energy: -7.0061 eV per atom
theoretical density: 14.120 Mg/m³

a = 6.2666 Å, b = 6.2666 Å, c = 7.3269 Å
α = 109.67°, β = 109.67°, γ = 28.78°
Last column: nearest neighbours and their distance in Å.
Positions (direct):
Hf (0.0322, 0.0322, 0.2223)  4 H 1.98-2.09
Hf (0.3149, 0.3149, 0.3377)  6 H 1.98-2.11
Hf (0.6851, 0.6851, 0.6623)  6 H 1.98-2.11
Hf (0.9678, 0.9678, 0.7777)  4 H 1.98-2.09
H (0.0806, 0.0806, 0.6361)  3 Hf 1.98, 3 H 2.06-2.16
H (0.1858, 0.1858, 0.4680)  5 H 2.06-2.20, 4 Hf 2.09-2.11
H (0.4511, 0.4511, 0.5990)  3 Hf 2.00-2.05, 5 H 2.16-2.20
H (0.5489, 0.5489, 0.4010)  3 Hf 2.00-2.05, 5 H 2.16-2.20
H (0.8142, 0.8142, 0.5320)  5 H 2.06-2.20, 4 Hf 2.09-2.11
H (0.9194, 0.9194, 0.3639)  3 Hf 1.98, 3 H 2.06-2.16
Ir (0.3429, 0.3429, 0.9543)  7 Hf 2.79-2.94, 4 Ir 3.00-3.11
Ir (0.6571, 0.6571, 0.0457)  7 Hf 2.79-2.94, 4 Ir 3.00-3.11